Entry 1:
First-principles (PBE) data for crystalline Eu2GaBr at its relaxed geometry, as listed in Alexandria via LeMat-Bulk.

Computed properties:
Energy relative to the elements, uncorrected (eV per atom): -0.907
Polymorph energy (0 for the lowest one) (meV per atom): 6
Space-group type: P4/mmm
Theoretical density (g/cm3): 6.630

a b c (Å): 3.682 3.682 8.378
angles (deg): 90.00 90.00 90.00
Fractional coordinates of all 4 atoms:
Eu: 0.000 0.000 0.229
Eu: 0.000 0.000 0.771
Ga: 0.500 0.500 0.000
Br: 0.500 0.500 0.500

Entry 2:
First-principles (PBE) data for crystalline Eu2GaBr at its relaxed geometry, as listed in Alexandria via LeMat-Bulk.

Computed properties:
Energy relative to the elements, uncorrected (eV per atom): -0.913
Polymorph energy (0 for the lowest one) (meV per atom): 0
Space-group type: R-3m
Theoretical density (g/cm3): 6.032

a b c (Å): 8.505 8.505 8.505
angles (deg): 28.63 28.63 28.63
Fractional coordinates of all 4 atoms:
Eu: 0.246 0.246 0.246
Eu: 0.754 0.754 0.754
Ga: 0.500 0.500 0.500
Br: 0.000 0.000 0.000

Entry 3:
First-principles (PBE) data for crystalline EuGaBr2 at its relaxed geometry, as listed in Alexandria via LeMat-Bulk.

Computed properties:
Energy relative to the elements, uncorrected (eV per atom): -0.816
Space-group type: R-3m
Theoretical density (g/cm3): 3.986

a b c (Å): 9.785 9.785 9.785
angles (deg): 26.03 26.03 26.03
Fractional coordinates of all 4 atoms:
Eu: 0.000 0.000 0.000
Ga: 0.500 0.500 0.500
Br: 0.102 0.102 0.102
Br: 0.898 0.898 0.898

Entry 4:
First-principles (PBE) data for crystalline Eu2GdBr at its relaxed geometry, as listed in Alexandria via LeMat-Bulk.

Computed properties:
Energy relative to the elements, uncorrected (eV per atom): -0.579
Space-group type: P4/mmm
Theoretical density (g/cm3): 6.576

a b c (Å): 3.668 3.668 10.157
angles (deg): 90.00 90.00 90.00
Fractional coordinates of all 4 atoms:
Eu: 0.000 0.000 0.221
Eu: 0.000 0.000 0.779
Gd: 0.500 0.500 0.500
Br: 0.500 0.500 0.000

Entry 5:
First-principles (PBE) data for crystalline Eu2GeBr at its relaxed geometry, as listed in Alexandria via LeMat-Bulk.

Computed properties:
Energy relative to the elements, uncorrected (eV per atom): -1.033
Polymorph energy (0 for the lowest one) (meV per atom): 46
Space-group type: P4/mmm
Theoretical density (g/cm3): 6.816

a b c (Å): 3.676 3.676 8.230
angles (deg): 90.00 90.00 90.00
Fractional coordinates of all 4 atoms:
Eu: 0.000 0.000 0.225
Eu: 0.000 0.000 0.775
Ge: 0.500 0.500 0.000
Br: 0.500 0.500 0.500

Entry 6:
First-principles (PBE) data for crystalline Eu3Ge5Br12 at its relaxed geometry, as listed in Alexandria via LeMat-Bulk.

Computed properties:
Energy relative to the elements, uncorrected (eV per atom): -0.721
Space-group type: Ia-3d
Theoretical density (g/cm3): 4.236

a b c (Å): 15.357 15.357 15.357
angles (deg): 109.47 109.47 109.47
Fractional coordinates of all 80 atoms:
Eu: 0.125 0.250 0.375
Eu: 0.125 0.375 0.750
Eu: 0.250 0.375 0.125
Eu: 0.250 0.875 0.625
Eu: 0.375 0.125 0.250
Eu: 0.375 0.750 0.125
Eu: 0.625 0.250 0.875
Eu: 0.625 0.875 0.750
Eu: 0.750 0.125 0.375
Eu: 0.750 0.625 0.875
Eu: 0.875 0.625 0.250
Eu: 0.875 0.750 0.625
Ge: 0.000 0.000 0.000
Ge: 0.000 0.000 0.500
Ge: 0.000 0.500 0.000
Ge: 0.000 0.500 0.500
Ge: 0.125 0.750 0.875
Ge: 0.125 0.875 0.250
Ge: 0.250 0.125 0.875
Ge: 0.250 0.625 0.375
Ge: 0.375 0.250 0.625
Ge: 0.375 0.625 0.750
Ge: 0.500 0.000 0.000
Ge: 0.500 0.000 0.500
Ge: 0.500 0.500 0.000
Ge: 0.500 0.500 0.500
Ge: 0.625 0.375 0.250
Ge: 0.625 0.750 0.375
Ge: 0.750 0.375 0.625
Ge: 0.750 0.875 0.125
Ge: 0.875 0.125 0.750
Ge: 0.875 0.250 0.125
Br: 0.047 0.217 0.135
Br: 0.047 0.330 0.912
Br: 0.082 0.717 0.670
Br: 0.082 0.865 0.412
Br: 0.088 0.635 0.418
Br: 0.088 0.953 0.670
Br: 0.135 0.047 0.217
Br: 0.135 0.588 0.918
Br: 0.170 0.217 0.582
Br: 0.170 0.453 0.588
Br: 0.217 0.135 0.047
Br: 0.217 0.582 0.170
Br: 0.283 0.330 0.918
Br: 0.283 0.453 0.365
Br: 0.330 0.912 0.047
Br: 0.330 0.918 0.283
Br: 0.365 0.283 0.453
Br: 0.365 0.582 0.912
Br: 0.412 0.082 0.865
Br: 0.412 0.830 0.547
Br: 0.418 0.088 0.635
Br: 0.418 0.830 0.783
Br: 0.453 0.365 0.283
Br: 0.453 0.588 0.170
Br: 0.547 0.412 0.830
Br: 0.547 0.635 0.717
Br: 0.582 0.170 0.217
Br: 0.582 0.912 0.365
Br: 0.588 0.170 0.453
Br: 0.588 0.918 0.135
Br: 0.635 0.418 0.088
Br: 0.635 0.717 0.547
Br: 0.670 0.082 0.717
Br: 0.670 0.088 0.953
Br: 0.717 0.547 0.635
Br: 0.717 0.670 0.082
Br: 0.783 0.418 0.830
Br: 0.783 0.865 0.953
Br: 0.830 0.547 0.412
Br: 0.830 0.783 0.418
Br: 0.865 0.412 0.082
Br: 0.865 0.953 0.783
Br: 0.912 0.047 0.330
Br: 0.912 0.365 0.582
Br: 0.918 0.135 0.588
Br: 0.918 0.283 0.330
Br: 0.953 0.670 0.088
Br: 0.953 0.783 0.865

Entry 7:
First-principles (PBE) data for crystalline Eu2GeBr at its relaxed geometry, as listed in Alexandria via LeMat-Bulk.

Computed properties:
Energy relative to the elements, uncorrected (eV per atom): -1.079
Polymorph energy (0 for the lowest one) (meV per atom): 0
Space-group type: R-3m
Theoretical density (g/cm3): 6.090

a b c (Å): 8.060 8.060 8.060
angles (deg): 31.17 31.17 31.17
Fractional coordinates of all 4 atoms:
Eu: 0.242 0.242 0.242
Eu: 0.758 0.758 0.758
Ge: 0.500 0.500 0.500
Br: 0.000 0.000 0.000

Entry 8:
First-principles (PBE) data for crystalline PmEuGeBr at its relaxed geometry, as listed in Alexandria via LeMat-Bulk.

Computed properties:
Energy relative to the elements, uncorrected (eV per atom): -0.903
Space-group type: F-43m
Theoretical density (g/cm3): 7.036

a b c (Å): 5.314 5.314 5.314
angles (deg): 60.00 60.00 60.00
Fractional coordinates of all 4 atoms:
Pm: 0.000 0.000 0.000
Eu: 0.500 0.500 0.500
Ge: 0.250 0.250 0.250
Br: 0.750 0.750 0.750

Entry 9:
First-principles (PBE) data for crystalline EuHfBr2 at its relaxed geometry, as listed in Alexandria via LeMat-Bulk.

Computed properties:
Energy relative to the elements, uncorrected (eV per atom): -0.599
Space-group type: R-3m
Theoretical density (g/cm3): 7.550

a b c (Å): 10.455 10.455 10.455
angles (deg): 19.18 19.18 19.18
Fractional coordinates of all 4 atoms:
Eu: 0.000 0.000 0.000
Hf: 0.500 0.500 0.500
Br: 0.103 0.103 0.103
Br: 0.897 0.897 0.897

Entry 10:
First-principles (PBE) data for crystalline Eu3Hg5Br12 at its relaxed geometry, as listed in Alexandria via LeMat-Bulk.

Computed properties:
Energy relative to the elements, uncorrected (eV per atom): -0.941
Space-group type: Ia-3d
Theoretical density (g/cm3): 5.501

a b c (Å): 15.595 15.595 15.595
angles (deg): 109.47 109.47 109.47
Fractional coordinates of all 80 atoms:
Eu: 0.125 0.250 0.375
Eu: 0.125 0.375 0.750
Eu: 0.250 0.375 0.125
Eu: 0.250 0.875 0.625
Eu: 0.375 0.125 0.250
Eu: 0.375 0.750 0.125
Eu: 0.625 0.250 0.875
Eu: 0.625 0.875 0.750
Eu: 0.750 0.125 0.375
Eu: 0.750 0.625 0.875
Eu: 0.875 0.625 0.250
Eu: 0.875 0.750 0.625
Hg: 0.000 0.000 0.000
Hg: 0.000 0.000 0.500
Hg: 0.000 0.500 0.000
Hg: 0.000 0.500 0.500
Hg: 0.125 0.750 0.875
Hg: 0.125 0.875 0.250
Hg: 0.250 0.125 0.875
Hg: 0.250 0.625 0.375
Hg: 0.375 0.250 0.625
Hg: 0.375 0.625 0.750
Hg: 0.500 0.000 0.000
Hg: 0.500 0.000 0.500
Hg: 0.500 0.500 0.000
Hg: 0.500 0.500 0.500
Hg: 0.625 0.375 0.250
Hg: 0.625 0.750 0.375
Hg: 0.750 0.375 0.625
Hg: 0.750 0.875 0.125
Hg: 0.875 0.125 0.750
Hg: 0.875 0.250 0.125
Br: 0.046 0.232 0.139
Br: 0.046 0.314 0.907
Br: 0.093 0.639 0.407
Br: 0.093 0.732 0.686
Br: 0.093 0.861 0.407
Br: 0.093 0.954 0.686
Br: 0.139 0.046 0.232
Br: 0.139 0.593 0.907
Br: 0.186 0.232 0.593
Br: 0.186 0.454 0.593
Br: 0.232 0.139 0.046
Br: 0.232 0.593 0.186
Br: 0.268 0.314 0.907
Br: 0.268 0.454 0.361
Br: 0.314 0.907 0.046
Br: 0.314 0.907 0.268
Br: 0.361 0.268 0.454
Br: 0.361 0.593 0.907
Br: 0.407 0.093 0.639
Br: 0.407 0.093 0.861
Br: 0.407 0.814 0.546
Br: 0.407 0.814 0.768
Br: 0.454 0.361 0.268
Br: 0.454 0.593 0.186
Br: 0.546 0.407 0.814
Br: 0.546 0.639 0.732
Br: 0.593 0.186 0.232
Br: 0.593 0.186 0.454
Br: 0.593 0.907 0.139
Br: 0.593 0.907 0.361
Br: 0.639 0.407 0.093
Br: 0.639 0.732 0.546
Br: 0.686 0.093 0.732
Br: 0.686 0.093 0.954
Br: 0.732 0.546 0.639
Br: 0.732 0.686 0.093
Br: 0.768 0.407 0.814
Br: 0.768 0.861 0.954
Br: 0.814 0.546 0.407
Br: 0.814 0.768 0.407
Br: 0.861 0.407 0.093
Br: 0.861 0.954 0.768
Br: 0.907 0.046 0.314
Br: 0.907 0.139 0.593
Br: 0.907 0.268 0.314
Br: 0.907 0.361 0.593
Br: 0.954 0.686 0.093
Br: 0.954 0.768 0.861

Entry 11:
First-principles (PBE) data for crystalline EuHoBr2 at its relaxed geometry, as listed in Alexandria via LeMat-Bulk.

Computed properties:
Energy relative to the elements, uncorrected (eV per atom): -1.071
Space-group type: R-3m
Theoretical density (g/cm3): 6.270

a b c (Å): 10.540 10.540 10.540
angles (deg): 20.55 20.55 20.55
Fractional coordinates of all 4 atoms:
Eu: 0.000 0.000 0.000
Ho: 0.500 0.500 0.500
Br: 0.101 0.101 0.101
Br: 0.899 0.899 0.899

Entry 12:
First-principles (PBE) data for crystalline Eu2HoBr at its relaxed geometry, as listed in Alexandria via LeMat-Bulk.

Computed properties:
Energy relative to the elements, uncorrected (eV per atom): -0.575
Polymorph energy (0 for the lowest one) (meV per atom): 63
Space-group type: P4/mmm
Theoretical density (g/cm3): 6.719

a b c (Å): 3.682 3.682 10.006
angles (deg): 90.00 90.00 90.00
Fractional coordinates of all 4 atoms:
Eu: 0.000 0.000 0.225
Eu: 0.000 0.000 0.775
Ho: 0.500 0.500 0.500
Br: 0.500 0.500 0.000

Question: theoretical density of number 2 (Eu2GaBr)?
Answer: 6.032 g/cm3

Question: The lowest theoretical density belongs to which entry?
Answer: EuGaBr2

Question: Which formula does entry 1 have?
Answer: Eu2GaBr